Entry from Alexandria: a relaxed structure of CuMoOs2Se (PBE).

M_tot = 0.00 μB/cell
SG = P4/mmm
E_form (uncorrected) = 2.011 eV/atom

Lattice parameters (Å, degrees): 4.717 4.717 4.635 90.00 90.00 90.00
Fractional positions:
Cu (0.000, 0.000, 0.000)
Mo (0.000, 0.000, 0.500)
Os (0.000, 0.500, 0.500)
Os (0.500, 0.000, 0.500)
Se (0.500, 0.500, 0.000)